Here is Sc2AsCl after structural relaxation from Alexandria. Energies are from PBE-GGA.

Results
**SG**: Cmm2, No. 35
**Crystal system**: orthorhombic
**VASP energy**: -22.4 eV for the cell shown
**Energy relative to the elements, uncorrected**: -821 meV/atom

abc: 3.231 3.231 8.986
angles: 90.00 90.00 90.13
Sites, in units of the cell vectors:
Sc 0.000 0.000 0.000
Sc 0.500 0.500 0.285
As 0.000 0.000 0.472
Cl 0.500 0.500 0.847

Here is Cr2TcP after structural relaxation from Alexandria. Energies are from PBE-GGA.

Results
**SG**: Cmm2, No. 35
**Crystal system**: orthorhombic
**VASP energy**: -34.4 eV for the cell shown
**ΔH_f (0 K)**: 0.62 eV/f.u.

abc: 2.704 2.704 7.527
angles: 90.00 90.00 112.59
Sites, in units of the cell vectors:
Cr 0.000 0.000 0.000
Cr 0.500 0.500 0.248
Tc 0.000 0.000 0.523
P 0.500 0.500 0.771

Here is AlReTc3 after structural relaxation from Alexandria. Energies are from PBE-GGA.

Results
**SG**: Pm-3m, No. 221
**Crystal system**: cubic
**Offset from the most stable computed form**: 157 meV/atom
**VASP energy**: -39.3 eV for the cell shown
**ΔH_f (0 K)**: 7.98 eV/f.u.

abc: 4.677 4.677 4.677
angles: 90.00 90.00 90.00
Sites, in units of the cell vectors:
Al 0.000 0.000 0.000
Re 0.500 0.500 0.500
Tc 0.000 0.500 0.500
Tc 0.500 0.000 0.500
Tc 0.500 0.500 0.000

Here is YZr2Ni after structural relaxation from Alexandria. Energies are from PBE-GGA.

Results
**SG**: Cmmm, No. 65
**Crystal system**: orthorhombic
**Offset from the most stable computed form**: 392 meV/atom
**VASP energy**: -28.4 eV for the cell shown
**ΔH_f (0 K)**: 0.92 eV/f.u.

abc: 4.982 4.982 3.374
angles: 90.00 90.00 90.06
Sites, in units of the cell vectors:
Y 0.000 0.000 0.000
Zr 0.000 0.500 0.500
Zr 0.500 0.000 0.500
Ni 0.500 0.500 0.000

Here is NiB3As after structural relaxation from Alexandria. Energies are from PBE-GGA.

Results
**SG**: Pm-3m, No. 221
**Crystal system**: cubic
**Offset from the most stable computed form**: 0 meV/atom
**VASP energy**: -24.1 eV for the cell shown
**ΔH_f (0 K)**: 6.32 eV/f.u.

abc: 3.864 3.864 3.864
angles: 90.00 90.00 90.00
Sites, in units of the cell vectors:
Ni 0.000 0.000 0.000
B 0.000 0.000 0.500
B 0.000 0.500 0.000
B 0.500 0.000 0.000
As 0.500 0.500 0.500

Here is Mg2Al2Ag5Sn after structural relaxation from Alexandria. Energies are from PBE-GGA.

Results
**SG**: P4/mbm, No. 127
**Crystal system**: tetragonal
**VASP energy**: -58.5 eV for the cell shown
**ΔH_f (0 K)**: -0.31 eV/f.u.

abc: 9.698 9.698 4.163
angles: 90.00 90.00 90.00
Sites, in units of the cell vectors:
Mg 0.177 0.323 0.000
Mg 0.323 0.823 0.000
Mg 0.677 0.177 0.000
Mg 0.823 0.677 0.000
Al 0.118 0.618 0.000
Al 0.382 0.118 0.000
Al 0.618 0.882 0.000
Al 0.882 0.382 0.000
Ag 0.000 0.500 0.500
Ag 0.077 0.793 0.500
Ag 0.207 0.077 0.500
Ag 0.293 0.577 0.500
Ag 0.423 0.293 0.500
Ag 0.500 0.000 0.500
Ag 0.577 0.707 0.500
Ag 0.707 0.423 0.500
Ag 0.793 0.923 0.500
Ag 0.923 0.207 0.500
Sn 0.000 0.000 0.000
Sn 0.500 0.500 0.000

Here is Sr2CdH12Rh3 after structural relaxation from Alexandria. Energies are from PBE-GGA.

Results
**SG**: R-3m, No. 166
**Crystal system**: trigonal
**VASP energy**: -71.5 eV for the cell shown

abc: 6.140 6.140 6.140
angles: 64.03 64.03 64.03
Sites, in units of the cell vectors:
Sr 0.118 0.118 0.118
Sr 0.882 0.882 0.882
Cd 0.500 0.500 0.500
H 0.105 0.619 0.619
H 0.184 0.184 0.610
H 0.184 0.610 0.184
H 0.381 0.381 0.895
H 0.381 0.895 0.381
H 0.390 0.816 0.816
H 0.610 0.184 0.184
H 0.619 0.105 0.619
H 0.619 0.619 0.105
H 0.816 0.390 0.816
H 0.816 0.816 0.390
H 0.895 0.381 0.381
Rh 0.000 0.500 0.500
Rh 0.500 0.000 0.500
Rh 0.500 0.500 0.000

Here is CuSbF2 after structural relaxation from Alexandria. Energies are from PBE-GGA.

Results
**SG**: R-3m, No. 166
**Crystal system**: trigonal
**Offset from the most stable computed form**: 66 meV/atom
**VASP energy**: -16.0 eV for the cell shown
**Energy relative to the elements, uncorrected**: -1021 meV/atom

abc: 7.972 7.972 7.972
angles: 22.71 22.71 22.71
Sites, in units of the cell vectors:
Cu 0.000 0.000 0.000
Sb 0.500 0.500 0.500
F 0.079 0.079 0.079
F 0.921 0.921 0.921

Here is AgPdPb2S after structural relaxation from Alexandria. Energies are from PBE-GGA.

Results
**SG**: P4/mmm, No. 123
**Crystal system**: tetragonal
**VASP energy**: -16.7 eV for the cell shown
**Energy relative to the elements, uncorrected**: 576 meV/atom

abc: 5.585 5.585 4.572
angles: 90.00 90.00 90.00
Sites, in units of the cell vectors:
Ag 0.000 0.000 0.000
Pd 0.500 0.500 0.500
Pb 0.000 0.500 0.000
Pb 0.500 0.000 0.000
S 0.000 0.000 0.500

Here is LaTb8Th4 after structural relaxation from Alexandria. Energies are from PBE-GGA.

Results
**SG**: R-3m, No. 166
**Crystal system**: trigonal
**VASP energy**: -69.1 eV for the cell shown
**ΔH_f (0 K)**: 2.57 eV/f.u.

abc: 9.923 9.923 9.923
angles: 43.72 43.72 43.72
Sites, in units of the cell vectors:
La 0.000 0.000 0.000
Tb 0.249 0.249 0.692
Tb 0.249 0.692 0.249
Tb 0.278 0.278 0.278
Tb 0.308 0.751 0.751
Tb 0.692 0.249 0.249
Tb 0.722 0.722 0.722
Tb 0.751 0.308 0.751
Tb 0.751 0.751 0.308
Th 0.000 0.000 0.500
Th 0.000 0.500 0.000
Th 0.500 0.000 0.000
Th 0.500 0.500 0.500

Here is Pm3Ge2Ir2 after structural relaxation from Alexandria. Energies are from PBE-GGA.

Results
**SG**: Pbcm, No. 57
**Crystal system**: orthorhombic
**VASP energy**: -188.1 eV for the cell shown
**ΔH_f (0 K)**: -5.82 eV/f.u.

abc: 5.728 8.028 13.530
angles: 90.00 90.00 90.00
Sites, in units of the cell vectors:
Pm 0.128 0.249 0.250
Pm 0.128 0.251 0.750
Pm 0.358 0.609 0.101
Pm 0.358 0.609 0.399
Pm 0.358 0.891 0.601
Pm 0.358 0.891 0.899
Pm 0.642 0.109 0.101
Pm 0.642 0.109 0.399
Pm 0.642 0.391 0.601
Pm 0.642 0.391 0.899
Pm 0.872 0.749 0.250
Pm 0.872 0.751 0.750
Ge 0.135 0.250 0.000
Ge 0.135 0.250 0.500
Ge 0.363 0.603 0.750
Ge 0.363 0.897 0.250
Ge 0.637 0.103 0.750
Ge 0.637 0.397 0.250
Ge 0.865 0.750 0.000
Ge 0.865 0.750 0.500
Ir 0.132 0.536 0.591
Ir 0.132 0.536 0.909
Ir 0.132 0.964 0.091
Ir 0.132 0.964 0.409
Ir 0.868 0.036 0.591
Ir 0.868 0.036 0.909
Ir 0.868 0.464 0.091
Ir 0.868 0.464 0.409

Here is LiCe2HgSe4 after structural relaxation from Alexandria. Energies are from PBE-GGA.

Results
**SG**: P2/m, No. 10
**Crystal system**: monoclinic
**VASP energy**: -38.6 eV for the cell shown
**Energy relative to the elements, uncorrected**: -1325 meV/atom

abc: 7.014 4.270 7.520
angles: 90.00 90.22 90.00
Sites, in units of the cell vectors:
Li 0.000 0.000 0.000
Ce 0.500 0.000 0.000
Ce 0.500 0.500 0.500
Hg 0.000 0.500 0.500
Se 0.263 0.500 0.147
Se 0.288 0.000 0.678
Se 0.712 0.000 0.322
Se 0.737 0.500 0.853

Here is LaTh2Zn after structural relaxation from Alexandria. Energies are from PBE-GGA.

Results
**SG**: P4/mmm, No. 123
**Crystal system**: tetragonal
**Offset from the most stable computed form**: 49 meV/atom
**VASP energy**: -21.0 eV for the cell shown
**ΔH_f (0 K)**: 0.09 eV/f.u.

abc: 4.887 4.887 4.864
angles: 90.00 90.00 90.00
Sites, in units of the cell vectors:
La 0.000 0.000 0.000
Th 0.000 0.500 0.500
Th 0.500 0.000 0.500
Zn 0.500 0.500 0.000

Here is ScHPd2 after structural relaxation from Alexandria. Energies are from PBE-GGA.

Results
**SG**: Fm-3m, No. 225
**Crystal system**: cubic
**Offset from the most stable computed form**: 403 meV/atom
**VASP energy**: -20.5 eV for the cell shown

abc: 4.332 4.332 4.332
angles: 60.00 60.00 60.00
Sites, in units of the cell vectors:
Sc 0.000 0.000 0.000
H 0.500 0.500 0.500
Pd 0.250 0.250 0.250
Pd 0.750 0.750 0.750

Here is Tc2AsW after structural relaxation from Alexandria. Energies are from PBE-GGA.

Results
**SG**: C2/m, No. 12
**Crystal system**: monoclinic
**VASP energy**: -37.5 eV for the cell shown
**ΔH_f (0 K)**: 0.87 eV/f.u.

abc: 4.539 4.539 4.924
angles: 94.57 94.57 37.25
Sites, in units of the cell vectors:
Tc 0.246 0.246 0.256
Tc 0.754 0.754 0.744
As 0.000 0.000 0.500
W 0.500 0.500 0.000

Here is Be2CrNi after structural relaxation from Alexandria. Energies are from PBE-GGA.

Results
**SG**: Amm2, No. 38
**Crystal system**: orthorhombic
**VASP energy**: -23.2 eV for the cell shown
**ΔH_f (0 K)**: -0.31 eV/f.u.

abc: 3.597 4.544 4.544
angles: 30.82 90.00 90.00
Sites, in units of the cell vectors:
Be 0.000 0.000 0.000
Be 0.500 0.127 0.127
Cr 0.000 0.738 0.738
Ni 0.500 0.398 0.398

Here is SiIr2Au after structural relaxation from Alexandria. Energies are from PBE-GGA.

Results
**SG**: P4mm, No. 99
**Crystal system**: tetragonal
**VASP energy**: -25.9 eV for the cell shown
**Energy relative to the elements, uncorrected**: 143 meV/atom

abc: 2.857 2.857 7.380
angles: 90.00 90.00 90.00
Sites, in units of the cell vectors:
Si 0.000 0.000 0.000
Ir 0.000 0.000 0.540
Ir 0.500 0.500 0.805
Au 0.500 0.500 0.261

Here is Th4Co2Ge after structural relaxation from Alexandria. Energies are from PBE-GGA.

Results
**SG**: I-42d, No. 122
**Crystal system**: tetragonal
**VASP energy**: -102.0 eV for the cell shown
**ΔH_f (0 K)**: -2.48 eV/f.u.

abc: 7.679 7.679 7.679
angles: 106.80 106.80 114.95
Sites, in units of the cell vectors:
Th 0.021 0.396 0.253
Th 0.143 0.768 0.747
Th 0.146 0.271 0.753
Th 0.232 0.979 0.375
Th 0.518 0.393 0.247
Th 0.604 0.857 0.625
Th 0.607 0.854 0.125
Th 0.729 0.482 0.875
Co 0.264 0.625 0.139
Co 0.375 0.514 0.639
Co 0.486 0.125 0.861
Co 0.875 0.736 0.361
Ge 0.000 0.000 0.000
Ge 0.750 0.250 0.500

Here is Sr2SiW after structural relaxation from Alexandria. Energies are from PBE-GGA.

Results
**SG**: P4/mmm, No. 123
**Crystal system**: tetragonal
**VASP energy**: -18.1 eV for the cell shown
**Energy relative to the elements, uncorrected**: 919 meV/atom

abc: 4.690 4.690 4.668
angles: 90.00 90.00 90.00
Sites, in units of the cell vectors:
Sr 0.000 0.500 0.000
Sr 0.500 0.000 0.000
Si 0.000 0.000 0.500
W 0.500 0.500 0.500

Here is Cd2SbI after structural relaxation from Alexandria. Energies are from PBE-GGA.

Results
**SG**: P4mm, No. 99
**Crystal system**: tetragonal
**Offset from the most stable computed form**: 83 meV/atom
**VASP energy**: -8.2 eV for the cell shown
**Energy relative to the elements, uncorrected**: -167 meV/atom

abc: 4.832 4.832 6.258
angles: 90.00 90.00 90.00
Sites, in units of the cell vectors:
Cd 0.000 0.500 0.000
Cd 0.500 0.000 0.000
Sb 0.000 0.000 0.759
I 0.500 0.500 0.336